RbCeI3 after structural relaxation, computed with PBE-GGA.

Cell: 6.326 6.326 6.326 Å, 90.00 90.00 90.00°
Each line ends with the local moment (μB).
Element x y z (fractional)
I (0.500, 0.000, 0.000)  -0.01
I (0.000, 0.000, 0.500)  -0.01
I (0.000, 0.500, 0.000)  -0.01
Ce (0.000, 0.000, 0.000)  1.45
Rb (0.500, 0.500, 0.500)  0.00

- Formation energy (no corrections): -116.2 kJ/mol of atoms
- Excess energy over the best structure of this formula in the dataset: 119.1 meV/atom
- Uncorrected energy: -3.51 eV/atom